This record from the Alexandria database describes a geometry-optimized LiBeBr2 structure. The functional is PBE.

The energy above the most stable polymorph in this dataset is 128 meV per atom.

The space group is R-3m (No. 166, hexagonal axes) and the conventional cell measures 3.8263, 3.8263 and 21.9729 Å, with angles of 90.00, 90.00 and 120.00 degrees. The asymmetric unit holds Li at (0.0000, 0.0000, 0.0000), Be at (0.0000, 0.0000, 0.5000) and Br at (0.0000, 0.0000, 0.4025).

***

This record from the Alexandria database describes a geometry-optimized LiBeBr2 structure. The functional is PBE.

The energy above the most stable polymorph in this dataset is 108 meV per atom.

The space group is P4mm (No. 99) and the conventional cell measures 3.735, 3.735 and 5.972 Å, with angles of 90.00, 90.00 and 90.00 degrees. The asymmetric unit holds Li at (0.000, 0.000, 0.000), Be at (0.500, 0.500, 0.507), Br at (0.000, 0.000, 0.568) and Br at (0.500, 0.500, 0.115).

***

This record from the Alexandria database describes a geometry-optimized Li2BeBr structure. The functional is PBE.

The energy above the most stable polymorph in this dataset is 118 meV per atom.

The space group is C2/m (No. 12) and the conventional cell measures 5.951, 3.462 and 7.858 Å, with angles of 90.00, 104.71 and 90.00 degrees. The asymmetric unit holds Li at (0.241, 0.000, 0.222), Be at (0.000, 0.000, 0.500) and Br at (0.000, 0.500, 0.000).

***

This record from the Alexandria database describes a geometry-optimized Li2BeBr structure. The functional is PBE.

The energy above the most stable polymorph in this dataset is 335 meV per atom.

The space group is Fm-3m (No. 225) and the conventional cell measures 6.765, 6.765 and 6.765 Å, with angles of 90.00, 90.00 and 90.00 degrees. The asymmetric unit holds Li at (0.250, 0.250, 0.250), Be at (0.000, 0.000, 0.000) and Br at (0.000, 0.000, 0.500).

***

This record from the Alexandria database describes a geometry-optimized Li4BeBr structure. The functional is PBE.

The space group is F-43m (No. 216) and the conventional cell measures 7.841, 7.841 and 7.841 Å, with angles of 90.00, 90.00 and 90.00 degrees. The asymmetric unit holds Li at (0.124, 0.124, 0.124), Be at (0.250, 0.250, 0.750) and Br at (0.000, 0.000, 0.500).

***

This record from the Alexandria database describes a geometry-optimized Li2BeBr structure. The functional is PBE.

The energy above the most stable polymorph in this dataset is 184 meV per atom.

The space group is Cmmm (No. 65) and the conventional cell measures 5.755, 7.489 and 3.192 Å, with angles of 90.00, 90.00 and 90.00 degrees. The asymmetric unit holds Li at (0.250, 0.250, 0.000), Be at (0.000, 0.000, 0.500) and Br at (0.000, 0.500, 0.500).

***

This record from the Alexandria database describes a geometry-optimized LiBe2Br structure. The functional is PBE.

The energy above the most stable polymorph in this dataset is 62 meV per atom.

The space group is C2/m (No. 12) and the conventional cell measures 15.220, 3.306 and 3.306 Å, with angles of 90.00, 102.15 and 90.00 degrees. The asymmetric unit holds Li at (0.000, 0.000, 0.000), Be at (0.250, 0.000, 0.750) and Br at (0.000, 0.500, 0.500).

***

This record from the Alexandria database describes a geometry-optimized Li2BeBr structure. The functional is PBE.

The energy above the most stable polymorph in this dataset is 140 meV per atom.

The space group is P4mm (No. 99) and the conventional cell measures 3.546, 3.546 and 6.900 Å, with angles of 90.00, 90.00 and 90.00 degrees. The asymmetric unit holds Li at (0.000, 0.000, 0.000), Li at (0.500, 0.500, 0.295), Be at (0.000, 0.000, 0.409) and Br at (0.500, 0.500, 0.920).

***

This record from the Alexandria database describes a geometry-optimized LiBeBr2 structure. The functional is PBE.

The energy above the most stable polymorph in this dataset is 492 meV per atom.

The space group is Fm-3m (No. 225) and the conventional cell measures 6.921, 6.921 and 6.921 Å, with angles of 90.00, 90.00 and 90.00 degrees. The asymmetric unit holds Li at (0.000, 0.000, 0.000), Be at (0.000, 0.000, 0.500) and Br at (0.250, 0.250, 0.250).

***

This record from the Alexandria database describes a geometry-optimized LiBe2Br structure. The functional is PBE.

The energy above the most stable polymorph in this dataset is 3 meV per atom.

The space group is P4mm (No. 99) and the conventional cell measures 3.224, 3.224 and 6.476 Å, with angles of 90.00, 90.00 and 90.00 degrees. The asymmetric unit holds Li at (0.000, 0.000, 0.000), Be at (0.000, 0.000, 0.420), Be at (0.500, 0.500, 0.450) and Br at (0.500, 0.500, 0.835).

***

This record from the Alexandria database describes a geometry-optimized LiBe2Br structure. The functional is PBE.

The energy above the most stable polymorph in this dataset is 487 meV per atom.

The space group is R-3m (No. 166, hexagonal axes) and the conventional cell measures 3.1711, 3.1711 and 22.8221 Å, with angles of 90.00, 90.00 and 120.00 degrees. The asymmetric unit holds Li at (0.0000, 0.0000, 0.0000), Be at (0.0000, 0.0000, 0.2441) and Br at (0.0000, 0.0000, 0.5000).

***

This record from the Alexandria database describes a geometry-optimized LiBeBr2 structure. The functional is PBE.

The energy above the most stable polymorph in this dataset is 194 meV per atom.

The space group is Pmmm (No. 47) and the conventional cell measures 3.610, 3.621 and 8.417 Å, with angles of 90.00, 90.00 and 90.00 degrees. The asymmetric unit holds Li at (0.000, 0.000, 0.000), Be at (0.000, 0.500, 0.500), Br at (0.500, 0.000, 0.500) and Br at (0.500, 0.500, 0.000).

***

This record from the Alexandria database describes a geometry-optimized LiBe2Br structure. The functional is PBE.

The energy above the most stable polymorph in this dataset is 642 meV per atom.

The space group is P4/mmm (No. 123) and the conventional cell measures 3.068, 3.068 and 7.027 Å, with angles of 90.00, 90.00 and 90.00 degrees. The asymmetric unit holds Li at (0.000, 0.000, 0.000), Be at (0.500, 0.500, 0.257) and Br at (0.000, 0.000, 0.500).

***

This record from the Alexandria database describes a geometry-optimized Li2BeBr structure. The functional is PBE.

The energy above the most stable polymorph in this dataset is 316 meV per atom.

The space group is Cmm2 (No. 35) and the conventional cell measures 3.364, 5.850 and 8.498 Å, with angles of 90.00, 90.00 and 90.00 degrees. The asymmetric unit holds Li at (0.000, 0.000, 0.000), Li at (0.000, 0.500, 0.308), Be at (0.000, 0.000, 0.541) and Br at (0.000, 0.500, 0.730).

***

This record from the Alexandria database describes a geometry-optimized LiBeBr2 structure. The functional is PBE.

The energy above the most stable polymorph in this dataset is 305 meV per atom.

The space group is Immm (No. 71) and the conventional cell measures 3.481, 7.196 and 7.434 Å, with angles of 90.00, 90.00 and 90.00 degrees. The asymmetric unit holds Li at (0.000, 0.000, 0.000), Be at (0.000, 0.000, 0.500) and Br at (0.000, 0.500, 0.234).

***

This record from the Alexandria database describes a geometry-optimized LiBe2Br structure. The functional is PBE.

The energy above the most stable polymorph in this dataset is 502 meV per atom.

The space group is I-4m2 (No. 119) and the conventional cell measures 3.777, 3.777 and 8.429 Å, with angles of 90.00, 90.00 and 90.00 degrees. The asymmetric unit holds Li at (0.000, 0.000, 0.000), Be at (0.000, 0.000, 0.500), Be at (0.000, 0.500, 0.750) and Br at (0.000, 0.500, 0.250).

***

This record from the Alexandria database describes a geometry-optimized LiBeBr2 structure. The functional is PBE.

The energy above the most stable polymorph in this dataset is 0 meV per atom.

The space group is Cm (No. 8) and the conventional cell measures 10.247, 3.680 and 6.536 Å, with angles of 90.00, 104.74 and 90.00 degrees. The asymmetric unit holds Li at (0.000, 0.000, 0.000), Be at (0.240, 0.000, 0.900), Br at (0.261, 0.500, 0.702) and Br at (0.406, 0.000, 0.185).

***

This record from the Alexandria database describes a geometry-optimized LiBeBr2 structure. The functional is PBE.

The energy above the most stable polymorph in this dataset is 238 meV per atom.

The space group is P2/m (No. 10) and the conventional cell measures 3.544, 3.420 and 6.802 Å, with angles of 90.00, 99.42 and 90.00 degrees. The asymmetric unit holds Li at (0.000, 0.000, 0.000), Be at (0.500, 0.000, 0.500) and Br at (0.456, 0.500, 0.251).

***

This record from the Alexandria database describes a geometry-optimized LiBeBr2 structure. The functional is PBE.

The energy above the most stable polymorph in this dataset is 423 meV per atom.

The space group is P4/mmm (No. 123) and the conventional cell measures 4.827, 4.827 and 3.411 Å, with angles of 90.00, 90.00 and 90.00 degrees. The asymmetric unit holds Li at (0.000, 0.000, 0.000), Be at (0.500, 0.500, 0.000) and Br at (0.000, 0.500, 0.500).

***

This record from the Alexandria database describes a geometry-optimized LiBe2Br structure. The functional is PBE.

The energy above the most stable polymorph in this dataset is 525 meV per atom.

The space group is Cmmm (No. 65) and the conventional cell measures 3.225, 5.401 and 7.827 Å, with angles of 90.00, 90.00 and 90.00 degrees. The asymmetric unit holds Li at (0.000, 0.000, 0.000), Be at (0.000, 0.500, 0.262) and Br at (0.000, 0.000, 0.500).

***

This record from the Alexandria database describes a geometry-optimized Li3BeBr structure. The functional is PBE.

The energy above the most stable polymorph in this dataset is 0 meV per atom.

The space group is Pm-3m (No. 221) and the conventional cell measures 4.814, 4.814 and 4.814 Å, with angles of 90.00, 90.00 and 90.00 degrees. The asymmetric unit holds Li at (0.000, 0.000, 0.500), Be at (0.500, 0.500, 0.500) and Br at (0.000, 0.000, 0.000).

***

This record from the Alexandria database describes a geometry-optimized Li2BeBr structure. The functional is PBE.

The energy above the most stable polymorph in this dataset is 35 meV per atom.

The space group is P4/mmm (No. 123) and the conventional cell measures 3.366, 3.366 and 5.858 Å, with angles of 90.00, 90.00 and 90.00 degrees. The asymmetric unit holds Li at (0.000, 0.000, 0.228), Be at (0.500, 0.500, 0.000) and Br at (0.500, 0.500, 0.500).

***

This record from the Alexandria database describes a geometry-optimized Li2BeBr structure. The functional is PBE.

The energy above the most stable polymorph in this dataset is 0 meV per atom.

The space group is Cm (No. 8) and the conventional cell measures 12.393, 3.450 and 3.383 Å, with angles of 90.00, 96.18 and 90.00 degrees. The asymmetric unit holds Li at (0.000, 0.000, 0.000), Li at (0.214, 0.000, 0.075), Be at (0.106, 0.500, 0.539) and Br at (0.301, 0.500, 0.605).

***

This record from the Alexandria database describes a geometry-optimized LiBe2Br structure. The functional is PBE.

The energy above the most stable polymorph in this dataset is 66 meV per atom.

The space group is P2/m (No. 10) and the conventional cell measures 3.316, 6.637 and 3.337 Å, with angles of 90.00, 90.30 and 90.00 degrees. The asymmetric unit holds Li at (0.000, 0.000, 0.000), Be at (0.252, 0.500, 0.252) and Br at (0.500, 0.000, 0.500).

***

This record from the Alexandria database describes a geometry-optimized Li2BeBr structure. The functional is PBE.

The energy above the most stable polymorph in this dataset is 584 meV per atom.

The space group is F-43m (No. 216) and the conventional cell measures 6.870, 6.870 and 6.870 Å, with angles of 90.00, 90.00 and 90.00 degrees. The asymmetric unit holds Li at (0.000, 0.000, 0.000), Li at (0.250, 0.250, 0.250), Be at (0.250, 0.250, 0.750) and Br at (0.000, 0.000, 0.500).

***

This record from the Alexandria database describes a geometry-optimized LiBeBr structure. The functional is PBE.

The energy above the most stable polymorph in this dataset is 0 meV per atom.

The space group is P3m1 (No. 156) and the conventional cell measures 3.4355, 3.4355 and 5.5906 Å, with angles of 90.00, 90.00 and 120.00 degrees. The asymmetric unit holds Li at (0.0000, 0.0000, 0.0000), Be at (0.6667, 0.3333, 0.3358) and Br at (0.3333, 0.6667, 0.5987).

***

This record from the Alexandria database describes a geometry-optimized LiBe2Br structure. The functional is PBE.

The energy above the most stable polymorph in this dataset is 983 meV per atom.

The space group is Fm-3m (No. 225) and the conventional cell measures 6.563, 6.563 and 6.563 Å, with angles of 90.00, 90.00 and 90.00 degrees. The asymmetric unit holds Li at (0.000, 0.000, 0.000), Be at (0.250, 0.250, 0.250) and Br at (0.000, 0.000, 0.500).

***

This record from the Alexandria database describes a geometry-optimized Li2BeBr structure. The functional is PBE.

The energy above the most stable polymorph in this dataset is 106 meV per atom.

The space group is Imm2 (No. 44) and the conventional cell measures 3.366, 3.605 and 12.503 Å, with angles of 90.00, 90.00 and 90.00 degrees. The asymmetric unit holds Li at (0.000, 0.000, 0.000), Li at (0.000, 0.500, 0.253), Be at (0.000, 0.500, 0.831) and Br at (0.000, 0.000, 0.579).

***

This record from the Alexandria database describes a geometry-optimized LiBe2Br structure. The functional is PBE.

The energy above the most stable polymorph in this dataset is 0 meV per atom.

The space group is Pm (No. 6) and the conventional cell measures 3.233, 3.186 and 6.375 Å, with angles of 90.00, 104.28 and 90.00 degrees. The asymmetric unit holds Li at (0.000, 0.000, 0.000), Be at (0.350, 0.500, 0.695), Be at (0.807, 0.000, 0.604) and Br at (0.574, 0.500, 0.152).

***

This record from the Alexandria database describes a geometry-optimized LiBe2Br structure. The functional is PBE.

The energy above the most stable polymorph in this dataset is 202 meV per atom.

The space group is R3m (No. 160, hexagonal axes) and the conventional cell measures 3.2144, 3.2144 and 21.5957 Å, with angles of 90.00, 90.00 and 120.00 degrees. The asymmetric unit holds Li at (0.0000, 0.0000, 0.0000), Be at (0.0000, 0.0000, 0.4986), Be at (0.0000, 0.0000, 0.7674) and Br at (0.0000, 0.0000, 0.2473).

***

This record from the Alexandria database describes a geometry-optimized LiBe2Br structure. The functional is PBE.

The energy above the most stable polymorph in this dataset is 265 meV per atom.

The space group is Cmmm (No. 65) and the conventional cell measures 4.616, 8.431 and 3.492 Å, with angles of 90.00, 90.00 and 90.00 degrees. The asymmetric unit holds Li at (0.000, 0.000, 0.000), Be at (0.250, 0.250, 0.500) and Br at (0.000, 0.500, 0.000).

***

DFT total energy (eV per atom)
-2.73, -2.75, -2.43, -2.22, -1.93, -2.37, -2.60, -2.41, -2.37, -2.66, -2.17, -2.67, -2.02, -2.24, -2.56, -2.16, -2.86, -2.62, -2.44, -2.13, -2.20, -2.52, -2.55, -2.59, -1.97, -2.46, -1.67, -2.45, -2.66, -2.46, -2.39
Formation energy from raw total energies (eV/atom)
-0.49, -0.51, -0.13, 0.09, 0.24, -0.06, 0.16, -0.11, -0.12, 0.10, 0.59, -0.42, 0.74, 0.07, -0.31, 0.60, -0.61, -0.38, -0.19, 0.63, 0.03, -0.21, -0.25, 0.17, 0.34, -0.02, 1.09, -0.14, 0.10, 0.30, 0.37